! FeHgH3 | the Alexandria database | PBE-GGA | relaxed; values from VASP
&SYSTEM
  ibrav = 0, nat = 5, ntyp = 3
/
ATOMIC_SPECIES
H 1.01 H.upf
Hg 200.59 Hg.upf
Fe 55.84 Fe.upf
CELL_PARAMETERS angstrom
3.4376 0.0000 0.0000
0.0000 3.4376 0.0000
0.0000 0.0000 3.4376
ATOMIC_POSITIONS crystal
H 0.0000 0.5000 0.0000
H 0.0000 0.0000 0.5000
H 0.5000 0.0000 0.0000
Hg 0.5000 0.5000 0.5000
Fe 0.0000 0.0000 0.0000
! - distance to the lowest polymorph of the same formula (meV per atom) = 0.0



! Fe2HgH2 | the Alexandria database | PBE-GGA | relaxed; values from VASP
&SYSTEM
  ibrav = 0, nat = 5, ntyp = 3
/
ATOMIC_SPECIES
H 1.01 H.upf
Hg 200.59 Hg.upf
Fe 55.84 Fe.upf
CELL_PARAMETERS angstrom
3.1374 0.0000 0.0000
0.0000 3.1374 0.0000
1.5687 1.5687 5.0878
ATOMIC_POSITIONS crystal
H 0.7500 0.2500 0.5000
H 0.2500 0.7500 0.5000
Hg 0.0000 0.0000 0.0000
Fe 0.3217 0.3217 0.3566
Fe 0.6783 0.6783 0.6434
! - uncorrected energy (eV per atom) = -4.608



! FeHgH3 | the Alexandria database | PBE-GGA | relaxed; values from VASP
&SYSTEM
  ibrav = 0, nat = 5, ntyp = 3
/
ATOMIC_SPECIES
H 1.01 H.upf
Hg 200.59 Hg.upf
Fe 55.84 Fe.upf
CELL_PARAMETERS angstrom
-0.1040 3.6142 1.1274
0.4951 -1.1051 3.5885
3.7534 0.2460 -0.4421
ATOMIC_POSITIONS crystal
H 0.0000 0.5000 0.0000
H 0.0000 0.0000 0.5000
H 0.5000 0.0000 0.0000
Hg 0.0000 0.0000 0.0000
Fe 0.5000 0.5000 0.5000
! - distance to the lowest polymorph of the same formula (meV per atom) = 624.9



! FeHgH2 | the Alexandria database | PBE-GGA | relaxed; values from VASP
&SYSTEM
  ibrav = 0, nat = 4, ntyp = 3
/
ATOMIC_SPECIES
H 1.01 H.upf
Hg 200.59 Hg.upf
Fe 55.84 Fe.upf
CELL_PARAMETERS angstrom
-3.6633 0.7365 1.0825
-2.5478 1.4007 -2.5847
-2.8992 -2.2507 -1.2895
ATOMIC_POSITIONS crystal
H 0.2500 0.2500 0.2500
H 0.7500 0.7500 0.7500
Hg 0.5000 0.5000 0.5000
Fe 0.0000 0.0000 0.0000
! - distance to the lowest polymorph of the same formula (meV per atom) = 474.7



! Fe3HgH | the Alexandria database | PBE-GGA | relaxed; values from VASP
&SYSTEM
  ibrav = 0, nat = 5, ntyp = 3
/
ATOMIC_SPECIES
H 1.01 H.upf
Hg 200.59 Hg.upf
Fe 55.84 Fe.upf
CELL_PARAMETERS angstrom
3.8447 0.0000 0.0000
0.0000 3.8447 0.0000
0.0000 0.0000 3.8447
ATOMIC_POSITIONS crystal
H 0.0000 0.0000 0.0000
Hg 0.5000 0.5000 0.5000
Fe 0.0000 0.5000 0.0000
Fe 0.0000 0.0000 0.5000
Fe 0.5000 0.0000 0.0000
! - distance to the lowest polymorph of the same formula (meV per atom) = 0.0



! FeHg2H | the Alexandria database | PBE-GGA | relaxed; values from VASP
&SYSTEM
  ibrav = 0, nat = 4, ntyp = 3
/
ATOMIC_SPECIES
H 1.01 H.upf
Hg 200.59 Hg.upf
Fe 55.84 Fe.upf
CELL_PARAMETERS angstrom
0.0000 3.2097 3.2097
3.2097 0.0000 3.2097
3.2097 3.2097 0.0000
ATOMIC_POSITIONS crystal
H 0.0000 0.0000 0.0000
Hg 0.2500 0.2500 0.2500
Hg 0.7500 0.7500 0.7500
Fe 0.5000 0.5000 0.5000
! - distance to the lowest polymorph of the same formula (meV per atom) = 138.2



! FeHgH2 | the Alexandria database | PBE-GGA | relaxed; values from VASP
&SYSTEM
  ibrav = 0, nat = 8, ntyp = 3
/
ATOMIC_SPECIES
H 1.01 H.upf
Hg 200.59 Hg.upf
Fe 55.84 Fe.upf
CELL_PARAMETERS angstrom
-1.6104 -1.6432 3.6872
2.9957 -3.1474 -0.0942
3.4607 0.1690 4.1483
ATOMIC_POSITIONS crystal
H 0.4633 0.1250 0.2500
H 0.2867 0.6250 0.2500
H 0.3750 0.5367 0.7500
H 0.8750 0.7133 0.7500
Hg 0.0000 0.0000 0.0000
Hg 0.7500 0.2500 0.5000
Fe 0.5000 0.5000 0.0000
Fe 0.2500 0.7500 0.5000
! - distance to the lowest polymorph of the same formula (meV per atom) = 0.0



! FeHgH | the Alexandria database | PBE-GGA | relaxed; values from VASP
&SYSTEM
  ibrav = 0, nat = 6, ntyp = 3
/
ATOMIC_SPECIES
Fe 55.84 Fe.upf
Hg 200.59 Hg.upf
H 1.01 H.upf
CELL_PARAMETERS angstrom
-1.9269 -2.1310 0.1132
0.7230 -0.7995 -2.7412
6.3410 -5.5587 3.2937
ATOMIC_POSITIONS crystal
Fe 0.5000 0.0000 0.3343
Fe 0.5000 0.5000 0.8343
Hg 0.0000 0.0000 0.0564
Hg 0.0000 0.5000 0.5564
H 0.5000 0.0000 0.7513
H 0.5000 0.5000 0.2513
! - distance to the lowest polymorph of the same formula (meV per atom) = 160.8



! LaFeHg2H | the Alexandria database | PBE-GGA | relaxed; values from VASP
&SYSTEM
  ibrav = 0, nat = 5, ntyp = 4
/
ATOMIC_SPECIES
Fe 55.84 Fe.upf
H 1.01 H.upf
Hg 200.59 Hg.upf
La 138.91 La.upf
CELL_PARAMETERS angstrom
-3.7839 -1.8012 -4.9692
3.6121 -2.0291 -2.0150
-1.4009 -5.5510 3.0789
ATOMIC_POSITIONS crystal
Fe 0.0000 0.5000 0.0000
H 0.5000 0.5000 0.5000
Hg 0.0000 0.0000 0.5000
Hg 0.5000 0.0000 0.0000
La 0.0000 0.0000 0.0000
! - uncorrected energy (eV per atom) = -2.311



! La6FeHg2H | the Alexandria database | PBE-GGA | relaxed; values from VASP
&SYSTEM
  ibrav = 0, nat = 10, ntyp = 4
/
ATOMIC_SPECIES
La 138.91 La.upf
Fe 55.84 Fe.upf
Hg 200.59 Hg.upf
H 1.01 H.upf
CELL_PARAMETERS angstrom
7.3579 0.0071 -0.0377
0.0094 7.3881 0.0086
-3.7186 -3.6856 5.3250
ATOMIC_POSITIONS crystal
La 0.6918 0.8136 0.0149
La 0.7524 0.7463 0.5196
La 0.3061 0.1859 0.9819
La 0.7994 0.3077 0.9854
La 0.2441 0.2509 0.4742
La 0.1993 0.6920 0.0113
Fe 0.0042 0.0049 0.0082
Hg 0.7541 0.2545 0.4998
Hg 0.2443 0.7453 0.4972
H 0.5032 0.5029 0.0055
! - uncorrected energy (eV per atom) = -4.443



! LaFeHgH2 | the Alexandria database | PBE-GGA | relaxed; values from VASP
&SYSTEM
  ibrav = 0, nat = 5, ntyp = 4
/
ATOMIC_SPECIES
Fe 55.84 Fe.upf
H 1.01 H.upf
Hg 200.59 Hg.upf
La 138.91 La.upf
CELL_PARAMETERS angstrom
-1.4629 -3.0672 1.9253
4.4001 -0.3323 2.8141
-1.5270 2.4053 2.6716
ATOMIC_POSITIONS crystal
Fe 0.0000 0.5000 0.0000
H 0.0000 0.0000 0.5000
H 0.5000 0.0000 0.0000
Hg 0.0000 0.0000 0.0000
La 0.5000 0.5000 0.5000
! - uncorrected energy (eV per atom) = -3.678



! MnFeHgH2 | the Alexandria database | PBE-GGA | relaxed; values from VASP
&SYSTEM
  ibrav = 0, nat = 5, ntyp = 4
/
ATOMIC_SPECIES
H 1.01 H.upf
Mn 54.94 Mn.upf
Hg 200.59 Hg.upf
Fe 55.84 Fe.upf
CELL_PARAMETERS angstrom
-0.5606 2.5356 2.5287
-1.9856 -3.8502 3.4205
3.3352 -0.5622 1.3031
ATOMIC_POSITIONS crystal
H 0.0000 0.0000 0.5000
H 0.5000 0.0000 0.0000
Mn 0.5000 0.5000 0.5000
Hg 0.0000 0.0000 0.0000
Fe 0.0000 0.5000 0.0000
! - uncorrected energy (eV per atom) = -3.980



no.,size of the total moment (μB per cell),N(E_F) (states/eV/atom)
1,0.00,0.471
2,4.50,0.513
3,3.15,0.868
4,2.66,1.484
5,7.07,0.447
6,3.45,1.054
7,3.71,1.346
8,4.76,0.614
9,1.84,0.606
10,0.00,1.071
11,1.46,1.029
12,6.77,0.469